La4Pm7Nd PBE optimized geometry; energy above the lowest structure with this stoichiometry = 19.2 kJ per mole of atoms; SG = C2/m, No. 12; formation enthalpy at 0 K = 0.217 eV per atom
1.0
-3.133 -4.667 -2.474
3.738 -0.485 -11.439
2.891 -6.210 0.431
Pm La Nd
7 4 1
direct
0.789 0.923 0.499
0.211 0.077 0.501
0.933 0.318 0.817
0.500 0.000 0.000
0.368 0.498 0.766
0.067 0.682 0.183
0.632 0.502 0.234
0.363 0.777 0.496
0.771 0.671 0.788
0.229 0.329 0.212
0.637 0.223 0.504
0.000 0.000 0.000



La7Tl2Bi2 PBE optimized geometry; SG = Cmmm, No. 65; formation enthalpy at 0 K = -0.255 eV per atom
1.0
-1.817 -4.071 -6.220
6.072 -3.827 0.731
-3.305 -4.199 5.478
Bi La Tl
2 7 2
direct
0.184 0.500 0.184
0.816 0.500 0.816
0.500 0.714 0.000
0.000 0.000 0.000
0.500 0.736 0.500
0.500 0.264 0.500
0.000 0.286 0.500
0.500 0.286 0.000
0.000 0.714 0.500
0.727 0.000 0.273
0.273 0.000 0.727



AgTe2H PBE optimized geometry; energy above the lowest structure with this stoichiometry = 9.8 kJ per mole of atoms; SG = R-3m, No. 166
1.0
2.502 0.000 6.750
-1.251 2.167 6.750
-1.251 -2.167 6.750
Te H Ag
2 1 1
direct
0.097 0.097 0.097
0.903 0.903 0.903
0.000 0.000 0.000
0.500 0.500 0.500



| no. | E (eV per cell) |
| --- | --- |
| 1 | -55.1 |
| 2 | -49.8 |
| 3 | -11.6 |